# 1
LiMnCr2Se (GGA-PBE, optimized geometry); VASP energy = -30.385 eV for the cell shown; magnetic moment = 12.09 Bohr magnetons per cell; formation energy without anion corrections = 0.686 eV per atom
1.0
4.7760 0.0000 0.0000
0.0000 4.5470 0.0000
0.0000 0.0000 4.7760
Cr Li Se Mn
2 1 1 1
Direct
0.5000 0.0000 0.0000 Cr
0.0000 0.0000 0.5000 Cr
0.0000 0.5000 0.0000 Li
0.0000 0.0000 0.0000 Se
0.5000 0.5000 0.5000 Mn


# 2
LiMnCrSn (GGA-PBE, optimized geometry); VASP energy = -24.780 eV for the cell shown; magnetic moment = 0.10 Bohr magnetons per cell; energy of formation from the pure elements = -0.018 eV/atom
1.0
-1.7288 1.2419 3.8576
-1.0320 -3.0290 3.0287
2.3849 -0.3272 3.6902
Li Mn Sn Cr
1 1 1 1
Direct
0.0000 0.0000 0.0000 Li
0.5000 0.5000 0.5000 Mn
0.7500 0.7500 0.7500 Sn
0.2500 0.2500 0.2500 Cr


# 3
LiMnCrTc (GGA-PBE, optimized geometry); VASP energy = -30.227 eV for the cell shown; magnetic moment = 2.51 Bohr magnetons per cell; energy of formation from the pure elements = 0.212 eV/atom
1.0
4.1490 0.0000 0.0000
2.0745 3.5931 0.0000
2.0745 1.1977 3.3876
Mn Cr Li Tc
1 1 1 1
Direct
0.7500 0.7500 0.7500 Mn
0.0000 0.0000 0.0000 Cr
0.5000 0.5000 0.5000 Li
0.2500 0.2500 0.2500 Tc


# 4
Li2MnCrTe (GGA-PBE, optimized geometry); VASP energy = -22.984 eV for the cell shown; magnetic moment = 9.11 Bohr magnetons per cell; formation energy without anion corrections = 0.556 eV per atom
1.0
-3.0604 3.6836 1.6073
-4.0973 -3.0751 -0.7541
0.4181 -1.7175 4.7322
Li Te Cr Mn
2 1 1 1
Direct
0.5000 0.0000 0.0000 Li
0.0000 0.0000 0.5000 Li
0.0000 0.0000 0.0000 Te
0.5000 0.5000 0.5000 Cr
0.0000 0.5000 0.0000 Mn


# 5
LiYMn2Cr (GGA-PBE, optimized geometry); VASP energy = -26.475 eV for the cell shown; magnetic moment = 6.54 Bohr magnetons per cell; energy of formation from the pure elements = 1.973 eV/atom
1.0
4.7376 0.0000 0.0000
0.0000 4.5464 0.0000
0.0000 0.0000 4.7376
Li Cr Mn Y
1 1 2 1
Direct
0.0000 0.5000 0.0000 Li
0.5000 0.5000 0.5000 Cr
0.5000 0.0000 0.0000 Mn
0.0000 0.0000 0.5000 Mn
0.0000 0.0000 0.0000 Y


# 6
LiCrMo2 (GGA-PBE, optimized geometry); VASP energy = -31.452 eV for the cell shown; magnetic moment = 1.91 Bohr magnetons per cell; energy of formation from the pure elements = 0.437 eV/atom
1.0
3.1537 0.0000 0.0000
0.0000 4.2405 0.0000
0.0000 0.0000 4.3071
Mo Cr Li
2 1 1
Direct
0.5000 0.5000 0.0000 Mo
0.0000 0.0000 0.0000 Mo
0.5000 0.0000 0.5000 Cr
0.0000 0.5000 0.5000 Li


# 7
Li2CrMo (GGA-PBE, optimized geometry); VASP energy = -21.002 eV for the cell shown; magnetic moment = 2.96 Bohr magnetons per cell; energy of formation from the pure elements = 0.820 eV/atom
1.0
-1.6710 2.1342 3.7551
2.8044 -2.5260 2.6836
1.9433 1.9180 -0.2253
Li Cr Mo
2 1 1
Direct
0.5000 0.5000 0.0000 Li
0.0000 0.0000 0.0000 Li
0.0000 0.5000 0.5000 Cr
0.5000 0.0000 0.5000 Mo


# 8
Li2CrMo (GGA-PBE, optimized geometry); VASP energy = -22.055 eV for the cell shown; magnetic moment = 0.76 Bohr magnetons per cell; energy of formation from the pure elements = 0.557 eV/atom
1.0
-2.7521 8.8378 -3.5134
-4.9595 7.5602 -4.0337
-4.5874 8.6112 -1.6815
Cr Mo Li
1 1 2
Direct
0.7500 0.7500 0.7500 Cr
0.2500 0.2500 0.2500 Mo
0.4976 0.4976 0.4976 Li
0.0024 0.0024 0.0024 Li


# 9
LiCrMo (GGA-PBE, optimized geometry); VASP energy = -21.192 eV for the cell shown; magnetic moment = 0.00 Bohr magnetons per cell; energy of formation from the pure elements = 0.392 eV/atom
1.0
7.0592 -0.0576 0.0433
6.4278 2.4858 0.0149
0.6314 -0.7365 2.4346
Cr Li Mo
1 1 1
Direct
0.0063 0.0063 0.9937 Cr
0.3378 0.3378 0.6622 Li
0.6559 0.6559 0.3441 Mo


# 10
Li2CrMo (GGA-PBE, optimized geometry); VASP energy = -22.460 eV for the cell shown; magnetic moment = 0.73 Bohr magnetons per cell; energy of formation from the pure elements = 0.456 eV/atom
1.0
-3.0797 -3.4751 -2.5931
1.5249 -2.9738 -4.1373
1.4828 1.4577 4.8951
Li Cr Mo
2 1 1
Direct
0.0000 0.0000 0.0000 Li
0.5000 0.5000 0.0000 Li
0.7500 0.2500 0.5000 Cr
0.2500 0.7500 0.5000 Mo


# 11
Li2CrMo (GGA-PBE, optimized geometry); VASP energy = -22.333 eV for the cell shown; magnetic moment = 0.00 Bohr magnetons per cell; energy of formation from the pure elements = 0.487 eV/atom
1.0
2.4839 0.0140 0.0000
-0.7265 2.3753 0.0000
0.0000 0.0000 9.5830
Cr Li Mo
1 2 1
Direct
0.5000 0.5000 0.7500 Cr
0.0000 0.0000 0.5071 Li
0.0000 0.0000 0.9929 Li
0.5000 0.5000 0.2500 Mo


# 12
Li2CrMo (GGA-PBE, optimized geometry); VASP energy = -40.911 eV for the cell shown; magnetic moment = 0.00 Bohr magnetons per cell; energy of formation from the pure elements = 0.957 eV/atom
1.0
6.9108 0.0000 0.0000
0.0000 6.9108 0.0000
3.4554 3.4554 2.2960
Cr Li Mo
2 4 2
Direct
0.2500 0.7500 0.5000 Cr
0.5000 0.5000 0.0000 Cr
0.8750 0.8619 0.7500 Li
0.6119 0.1250 0.2500 Li
0.3750 0.3881 0.7500 Li
0.1381 0.6250 0.2500 Li
0.7500 0.2500 0.5000 Mo
0.0000 0.0000 0.0000 Mo